Record 1
This record from the Open Quantum Materials Database describes crystalline HgTeIrO at its relaxed geometry. The functional is PBE-GGA.

Computed properties:
- crystal system = tetragonal
- space-group type = P4/nmm (129)
- final energy (eV per atom) = -3.9128
- V (A^3/atom) = 19.23

abc: 4.098 4.098 9.158
angles: 90.00 90.00 90.00
Atoms (fractional coordinates):
Ir: 0.000 0.000 0.082
Ir: 0.500 0.500 0.918
Hg: 0.500 0.000 0.500
Hg: 0.000 0.500 0.500
O: 0.500 0.000 0.000
O: 0.000 0.500 0.000
Te: 0.500 0.500 0.221
Te: 0.000 0.000 0.779

Record 2
This record from the Open Quantum Materials Database describes crystalline Gd2Si2O5 at its relaxed geometry. The functional is PBE-GGA.

Computed properties:
- crystal system = tetragonal
- space-group type = P4/mmm (123)
- final energy (eV per atom) = -7.1988
- V (A^3/atom) = 11.02

abc: 6.530 3.898 3.898
angles: 90.00 90.00 90.00
Atoms (fractional coordinates):
Si: 0.772 0.500 0.500
Si: 0.228 0.500 0.500
O: 0.757 0.000 0.500
O: 0.500 0.500 0.500
O: 0.243 0.500 0.000
O: 0.757 0.500 0.000
O: 0.243 0.000 0.500
Gd: 0.500 0.000 0.000
Gd: 0.000 0.000 0.000

Record 3
This record from the Open Quantum Materials Database describes crystalline BaPmO3 at its relaxed geometry. The functional is PBE-GGA.

Computed properties:
- crystal system = tetragonal
- space-group type = P4mm (99)
- final energy (eV per atom) = -6.8578
- V (A^3/atom) = 17.91

abc: 4.439 4.439 4.544
angles: 90.00 90.00 90.00
Atoms (fractional coordinates):
O: 0.000 0.500 0.627
O: 0.500 0.500 0.073
O: 0.500 0.000 0.627
Ba: 0.000 0.000 0.011
Pm: 0.500 0.500 0.562

Record 4
This record from the Open Quantum Materials Database describes crystalline SrTmBe at its relaxed geometry. The functional is PBE-GGA.

Computed properties:
- crystal system = cubic
- space-group type = F-43m (216)
- final energy (eV per atom) = -2.7643
- V (A^3/atom) = 29.79

abc: 5.018 5.018 5.018
angles: 60.00 60.00 60.00
Atoms (fractional coordinates):
Sr: 0.250 0.250 0.250
Be: 0.000 0.000 0.000
Tm: 0.750 0.750 0.750

Record 5
This record from the Open Quantum Materials Database describes crystalline NbGa4As2 at its relaxed geometry. The functional is PBE-GGA.

Computed properties:
- crystal system = tetragonal
- space-group type = P-42m (111)
- final energy (eV per atom) = -4.5164
- V (A^3/atom) = 18.76

abc: 5.340 5.340 4.605
angles: 90.00 90.00 90.00
Atoms (fractional coordinates):
Ga: 0.255 0.745 0.504
Ga: 0.745 0.255 0.504
Ga: 0.745 0.745 0.496
Ga: 0.255 0.255 0.496
As: 0.500 0.000 0.000
As: 0.000 0.500 0.000
Nb: 0.000 0.000 0.000

Record 6
This record from the Open Quantum Materials Database describes crystalline DyY2Mg3Cd2Ag at its relaxed geometry. The functional is PBE-GGA.

Computed properties:
- crystal system = orthorhombic
- space-group type = Amm2 (38)
- final energy (eV per atom) = -3.2535
- V (A^3/atom) = 24.58

abc: 4.195 7.803 7.803
angles: 119.98 90.00 90.00
Atoms (fractional coordinates):
Mg: 0.500 0.756 0.000
Mg: 0.500 0.244 0.244
Mg: 0.500 0.000 0.756
Ag: 0.000 0.999 0.999
Cd: 0.500 0.667 0.334
Cd: 0.500 0.334 0.667
Y: 0.000 0.407 0.000
Y: 0.000 0.000 0.407
Dy: 0.000 0.594 0.594

Record 7
This record from the Open Quantum Materials Database describes crystalline LiTc2Ge at its relaxed geometry. The functional is PBE-GGA.

Computed properties:
- crystal system = cubic
- space-group type = F-43m (216)
- final energy (eV per atom) = -6.9756
- V (A^3/atom) = 13.64

abc: 4.258 4.258 4.258
angles: 60.00 60.00 60.00
Atoms (fractional coordinates):
Ge: 0.500 0.500 0.500
Tc: 0.000 0.000 0.000
Tc: 0.750 0.750 0.750
Li: 0.250 0.250 0.250

Record 8
This record from the Open Quantum Materials Database describes crystalline BaSmMgTe3 at its relaxed geometry. The functional is PBE-GGA.

Computed properties:
- crystal system = orthorhombic
- space-group type = Cmcm (63)
- final energy (eV per atom) = -4.1992
- V (A^3/atom) = 34.50

abc: 8.141 8.141 11.735
angles: 90.00 90.00 147.83
Atoms (fractional coordinates):
Te: 0.140 0.860 0.439
Te: 0.860 0.140 0.561
Te: 0.422 0.578 0.250
Te: 0.860 0.140 0.939
Te: 0.140 0.860 0.061
Te: 0.578 0.422 0.750
Mg: 0.969 0.031 0.750
Mg: 0.031 0.969 0.250
Ba: 0.745 0.255 0.250
Ba: 0.255 0.745 0.750
Sm: 0.500 0.500 0.500
Sm: 0.500 0.500 0.000

Record 9
This record from the Open Quantum Materials Database describes crystalline LiBiMoW at its relaxed geometry. The functional is PBE-GGA.

Computed properties:
- crystal system = cubic
- space-group type = F-43m (216)
- final energy (eV per atom) = -6.9953
- V (A^3/atom) = 16.97

abc: 4.579 4.579 4.579
angles: 60.00 60.00 60.00
Atoms (fractional coordinates):
Bi: 0.000 0.000 0.000
Li: 0.750 0.750 0.750
W: 0.500 0.500 0.500
Mo: 0.250 0.250 0.250

Record 10
This record from the Open Quantum Materials Database describes crystalline DyTaN2O at its relaxed geometry. The functional is PBE-GGA.

Computed properties:
- crystal system = hexagonal
- space-group type = P6_3/mmc (194)
- final energy (eV per atom) = -9.2698
- V (A^3/atom) = 13.14

abc: 5.684 5.684 14.086
angles: 90.00 90.00 120.00
Atoms (fractional coordinates):
O: 0.508 0.492 0.250
O: 0.508 0.016 0.250
O: 0.492 0.984 0.750
O: 0.016 0.508 0.750
O: 0.984 0.492 0.250
O: 0.492 0.508 0.750
N: 0.158 0.317 0.092
N: 0.158 0.317 0.408
N: 0.842 0.683 0.908
N: 0.317 0.158 0.908
N: 0.842 0.158 0.908
N: 0.158 0.842 0.408
N: 0.158 0.842 0.092
N: 0.842 0.683 0.592
N: 0.683 0.842 0.092
N: 0.842 0.158 0.592
N: 0.317 0.158 0.592
N: 0.683 0.842 0.408
Dy: 0.667 0.333 0.123
Dy: 0.333 0.667 0.623
Dy: 0.000 0.000 0.250
Dy: 0.667 0.333 0.377
Dy: 0.333 0.667 0.877
Dy: 0.000 0.000 0.750
Ta: 0.000 0.000 0.000
Ta: 0.667 0.333 0.646
Ta: 0.333 0.667 0.354
Ta: 0.333 0.667 0.146
Ta: 0.667 0.333 0.854
Ta: 0.000 0.000 0.500

Record 11
This record from the Open Quantum Materials Database describes crystalline GdN2 at its relaxed geometry. The functional is PBE-GGA.

Computed properties:
- crystal system = cubic
- space-group type = Fd-3m (227)
- final energy (eV per atom) = -5.9637
- V (A^3/atom) = 11.24

abc: 4.568 4.568 4.568
angles: 60.00 60.00 60.00
Atoms (fractional coordinates):
N: 0.625 0.625 0.625
N: 0.625 0.625 0.125
N: 0.125 0.625 0.625
N: 0.625 0.125 0.625
Gd: 0.000 0.000 0.000
Gd: 0.250 0.250 0.250

Record 12
This record from the Open Quantum Materials Database describes crystalline LaDySbBr2 at its relaxed geometry. The functional is PBE-GGA.

Computed properties:
- crystal system = trigonal
- space-group type = P3m1 (156)
- final energy (eV per atom) = -4.9417
- V (A^3/atom) = 35.99

abc: 4.338 4.338 11.043
angles: 90.00 90.00 120.00
Atoms (fractional coordinates):
Br: 0.333 0.667 0.687
Br: 0.000 0.000 0.326
La: 0.333 0.667 0.161
Sb: 0.667 0.333 0.989
Dy: 0.000 0.000 0.837

Record 13
This record from the Open Quantum Materials Database describes crystalline FeCuAsAu at its relaxed geometry. The functional is PBE-GGA.

Computed properties:
- crystal system = cubic
- space-group type = F-43m (216)
- final energy (eV per atom) = -4.7890
- V (A^3/atom) = 14.86

abc: 4.380 4.380 4.380
angles: 60.00 60.00 60.00
Atoms (fractional coordinates):
Fe: 0.250 0.250 0.250
Au: 0.500 0.500 0.500
Cu: 0.750 0.750 0.750
As: 0.000 0.000 0.000

Record 14
This record from the Open Quantum Materials Database describes crystalline SmNbPb2O6 at its relaxed geometry. The functional is PBE-GGA.

Computed properties:
- crystal system = tetragonal
- space-group type = I4/m (87)
- final energy (eV per atom) = -7.3732
- V (A^3/atom) = 14.92

abc: 5.985 5.985 5.985
angles: 121.02 121.02 88.24
Atoms (fractional coordinates):
Pb: 0.250 0.750 0.500
Pb: 0.750 0.250 0.500
Sm: 0.000 0.000 0.000
O: 0.662 0.198 0.860
O: 0.802 0.662 0.463
O: 0.198 0.338 0.537
O: 0.266 0.266 0.000
O: 0.338 0.802 0.140
O: 0.734 0.734 0.000
Nb: 0.500 0.500 0.000

Record 15
This record from the Open Quantum Materials Database describes crystalline Hf2InC at its relaxed geometry. The functional is PBE-GGA.

Computed properties:
- crystal system = trigonal
- space-group type = P-3m1 (164)
- final energy (eV per atom) = -8.6821
- V (A^3/atom) = 17.78

abc: 3.322 3.322 14.884
angles: 90.00 90.00 120.00
Atoms (fractional coordinates):
Hf: 0.333 0.667 0.082
Hf: 0.667 0.333 0.582
Hf: 0.667 0.333 0.918
Hf: 0.333 0.667 0.418
In: 0.333 0.667 0.750
In: 0.667 0.333 0.250
C: 0.000 0.000 0.500
C: 0.000 0.000 0.000

Record 16
This record from the Open Quantum Materials Database describes crystalline GdYLu at its relaxed geometry. The functional is PBE-GGA.

Computed properties:
- crystal system = cubic
- space-group type = F-43m (216)
- E_form (eV per atom) = 0.764
- V (A^3/atom) = 37.61

abc: 5.424 5.424 5.424
angles: 60.00 60.00 60.00
Atoms (fractional coordinates):
Y: 0.000 0.000 0.000
Lu: 0.750 0.750 0.750
Gd: 0.250 0.250 0.250

Record 17
This record from the Open Quantum Materials Database describes crystalline TbNdPt4 at its relaxed geometry. The functional is PBE-GGA.

Computed properties:
- crystal system = cubic
- space-group type = F-43m (216)
- E_form (eV per atom) = -1.073
- V (A^3/atom) = 19.29

abc: 5.470 5.470 5.470
angles: 60.00 60.00 60.00
Atoms (fractional coordinates):
Tb: 0.250 0.250 0.250
Pt: 0.625 0.625 0.126
Pt: 0.625 0.126 0.625
Pt: 0.625 0.625 0.625
Pt: 0.126 0.625 0.625
Nd: 0.000 0.000 0.000

Record 18
This record from the Open Quantum Materials Database describes crystalline Dy2Ag2SeS3 at its relaxed geometry. The functional is PBE-GGA.

Computed properties:
- crystal system = monoclinic
- space-group type = Cm (8)
- final energy (eV per atom) = -5.1439
- V (A^3/atom) = 22.65

abc: 6.599 6.599 4.163
angles: 90.63 90.63 88.53
Atoms (fractional coordinates):
Ag: 0.998 0.499 0.014
Ag: 0.499 0.998 0.014
S: 0.702 0.702 0.730
S: 0.800 0.201 0.270
S: 0.201 0.800 0.270
Dy: 0.509 0.509 0.213
Dy: 0.994 0.994 0.780
Se: 0.297 0.297 0.709

Record 19
This record from the Open Quantum Materials Database describes crystalline DyTcNO at its relaxed geometry. The functional is PBE-GGA.

Computed properties:
- crystal system = tetragonal
- space-group type = P4/nmm (129)
- final energy (eV per atom) = -8.0802
- V (A^3/atom) = 12.56

abc: 4.786 4.786 4.385
angles: 90.00 90.00 90.00
Atoms (fractional coordinates):
Dy: 0.250 0.750 0.500
Dy: 0.750 0.250 0.500
O: 0.750 0.250 0.000
O: 0.250 0.750 0.000
Tc: 0.250 0.250 0.001
Tc: 0.750 0.750 0.999
N: 0.250 0.250 0.501
N: 0.750 0.750 0.499

Record 20
This record from the Open Quantum Materials Database describes crystalline ThFe4P2 at its relaxed geometry. The functional is PBE-GGA.

Computed properties:
- crystal system = orthorhombic
- space-group type = Pnnm (58)
- final energy (eV per atom) = -8.0396
- V (A^3/atom) = 13.40

abc: 14.229 10.681 3.702
angles: 90.00 90.00 90.00
Atoms (fractional coordinates):
Th: 0.726 0.123 0.000
Th: 0.000 0.000 0.000
Th: 0.774 0.623 0.500
Th: 0.500 0.500 0.500
Th: 0.274 0.877 0.000
Th: 0.226 0.377 0.500
Fe: 0.537 0.260 0.000
Fe: 0.789 0.322 0.500
Fe: 0.289 0.178 0.000
Fe: 0.825 0.932 0.500
Fe: 0.052 0.409 0.000
Fe: 0.963 0.760 0.500
Fe: 0.079 0.734 0.000
Fe: 0.552 0.091 0.500
Fe: 0.463 0.740 0.000
Fe: 0.054 0.577 0.500
Fe: 0.448 0.909 0.500
Fe: 0.325 0.568 0.000
Fe: 0.711 0.822 0.000
Fe: 0.675 0.432 0.000
Fe: 0.948 0.591 0.000
Fe: 0.554 0.923 0.000
Fe: 0.921 0.266 0.000
Fe: 0.446 0.077 0.000
Fe: 0.579 0.766 0.500
Fe: 0.946 0.423 0.500
Fe: 0.037 0.240 0.500
Fe: 0.175 0.068 0.500
Fe: 0.211 0.678 0.500
Fe: 0.421 0.234 0.500
P: 0.114 0.850 0.500
P: 0.368 0.703 0.500
P: 0.132 0.203 0.000
P: 0.386 0.350 0.000
P: 0.868 0.797 0.000
P: 0.334 0.071 0.500
P: 0.886 0.150 0.500
P: 0.166 0.571 0.000
P: 0.632 0.297 0.500
P: 0.834 0.429 0.000
P: 0.614 0.650 0.000
P: 0.666 0.929 0.500